Computed, not measured: a relaxed Sm4SbPbN crystal at the PBE-GGA level of DFT.

Properties
For the spin magnetization, the calculation gives 0.000 μB/atom. Its space group is Cmcm (63). The density of states at the Fermi level is 0.91 states/eV/atom. The calculation puts the formation energy (no corrections) at -0.929 eV/atom.

```
Sm4SbPbN
1.0
-5.492 2.681 3.058
-1.174 -5.959 3.117
7.416 1.037 4.775
Sm Pb Sb N
8 2 2 2
Direct
0.909 0.250 0.817
0.500 0.500 0.500
0.091 0.750 0.183
0.411 0.750 0.821
0.589 0.250 0.179
0.000 0.500 0.500
0.000 0.000 0.500
0.500 0.000 0.500
0.105 0.250 0.209
0.895 0.750 0.791
0.391 0.250 0.782
0.609 0.750 0.218
0.750 0.250 0.501
0.250 0.750 0.499
```